Entry from OQMD via LeMat-Bulk: a geometry-optimized Sc2AlZn structure (PBE).

Summary:
calculated density = 3.98 g/cm³
DFT total energy = -38.71 eV for the cell shown

Cell lengths 5.8172, 5.8172, 6.6040 Å; angles 124.45, 124.45, 71.95 degrees
With the nearest neighbours (Å) after each atom.
Element x y z (fractional)
Sc: 0.0002 0.4990 0.2494  4 Al 2.91-2.92, 4 Zn 2.91-2.92
Sc: 0.9998 0.5010 0.7506  4 Al 2.91-2.92, 4 Zn 2.91-2.92
Sc: 0.4990 0.0002 0.2494  4 Al 2.91-2.92, 4 Zn 2.91-2.92
Sc: 0.5010 0.9998 0.7506  4 Al 2.91-2.92, 4 Zn 2.91-2.92
Al: 0.5004 0.5004 0.2499  8 Sc 2.91-2.92
Al: 0.4996 0.4996 0.7501  8 Sc 2.91-2.92
Zn: 0.0004 0.0004 0.2518  8 Sc 2.91-2.92
Zn: 0.9996 0.9996 0.7482  8 Sc 2.91-2.92

***

Entry from OQMD via LeMat-Bulk: a geometry-optimized Sc2AlZn structure (PBE).

Summary:
calculated density = 3.97 g/cm³
DFT total energy = -19.37 eV for the cell shown

Cell lengths 4.7597, 4.7597, 4.7597 Å; angles 60.00, 60.00, 60.00 degrees
With the nearest neighbours (Å) after each atom.
Element x y z (fractional)
Sc: 0.2500 0.2500 0.2500  4 Zn 2.91, 4 Al 2.91
Sc: 0.7500 0.7500 0.7500  4 Al 2.91, 4 Zn 2.91
Al: 0.0000 0.0000 0.0000  8 Sc 2.91
Zn: 0.5000 0.5000 0.5000  8 Sc 2.91

***

Entry from OQMD via LeMat-Bulk: a geometry-optimized Sc2AlZn structure (PBE).

Summary:
calculated density = 4.00 g/cm³
DFT total energy = -19.38 eV for the cell shown

Cell lengths 3.3317, 3.3317, 6.8247 Å; angles 90.00, 90.00, 90.00 degrees
With the nearest neighbours (Å) after each atom.
Element x y z (fractional)
Sc: 0.0000 0.0000 0.2432  4 Zn 2.88, 4 Al 2.94
Sc: 0.0000 0.0000 0.7568  4 Zn 2.88, 4 Al 2.94
Al: 0.5000 0.5000 0.5000  8 Sc 2.94
Zn: 0.5000 0.5000 0.0000  8 Sc 2.88

***

Entry from OQMD via LeMat-Bulk: a geometry-optimized Sc2AlZn structure (PBE).

Summary:
calculated density = 3.92 g/cm³
DFT total energy = -17.72 eV for the cell shown

Cell lengths 4.7800, 4.7800, 4.7800 Å; angles 60.00, 60.00, 60.00 degrees
With the nearest neighbours (Å) after each atom.
Element x y z (fractional)
Sc: 0.0000 0.0000 0.0000  4 Al 2.93, 4 Sc 2.93
Sc: 0.2500 0.2500 0.2500  4 Sc 2.93, 4 Zn 2.93
Al: 0.7500 0.7500 0.7500  4 Sc 2.93, 4 Zn 2.93
Zn: 0.5000 0.5000 0.5000  4 Al 2.93, 4 Sc 2.93

***

Entry from OQMD via LeMat-Bulk: a geometry-optimized Sc2AlZn structure (PBE).

Summary:
calculated density = 3.47 g/cm³
DFT total energy = -35.37 eV for the cell shown

Cell lengths 4.6918, 4.6918, 9.1481 Å; angles 90.00, 90.00, 120.00 degrees
With the nearest neighbours (Å) after each atom.
Element x y z (fractional)
Sc: 0.3333 0.6667 0.0864  3 Zn 2.82, 4 Sc 2.99-3.14, 4 Al 3.08-3.09
Sc: 0.3333 0.6667 0.4136  3 Zn 2.82, 4 Sc 2.99-3.14, 4 Al 3.08-3.09
Sc: 0.6667 0.3333 0.5864  3 Zn 2.82, 4 Sc 2.99-3.14, 4 Al 3.08-3.09
Sc: 0.6667 0.3333 0.9136  3 Zn 2.82, 4 Sc 2.99-3.14, 4 Al 3.08-3.09
Al: 0.3333 0.6667 0.7500  8 Sc 3.08-3.09
Al: 0.6667 0.3333 0.2500  8 Sc 3.08-3.09
Zn: 0.0000 0.0000 0.0000  6 Sc 2.82
Zn: 0.0000 0.0000 0.5000  6 Sc 2.82

***

Entry from OQMD via LeMat-Bulk: a geometry-optimized ScAl8Zn4 structure (PBE).

Summary:
calculated density = 4.02 g/cm³
DFT total energy = -41.73 eV for the cell shown

Cell lengths 6.9858, 6.9858, 6.9858 Å; angles 97.66, 97.66, 137.16 degrees
With the nearest neighbours (Å) after each atom.
Element x y z (fractional)
Sc: 0.0000 0.0000 0.0000  12 Al 3.22-3.25, 8 Zn 3.49
Al: 0.0000 0.3534 0.3534  5 Al 2.70-2.96, 4 Zn 2.80
Al: 0.0000 0.6466 0.6466  5 Al 2.70-2.96, 4 Zn 2.80
Al: 0.2871 0.5000 0.7871  4 Zn 2.65, 6 Al 2.77-2.96
Al: 0.3534 0.0000 0.3534  5 Al 2.70-2.96, 4 Zn 2.80
Al: 0.5000 0.2871 0.7871  4 Zn 2.65, 6 Al 2.77-2.96
Al: 0.5000 0.7129 0.2129  4 Zn 2.65, 6 Al 2.77-2.96
Al: 0.6466 0.0000 0.6466  5 Al 2.70-2.96, 4 Zn 2.80
Al: 0.7129 0.5000 0.2129  4 Zn 2.65, 6 Al 2.77-2.96
Zn: 0.0000 0.0000 0.5000  2 Zn 2.55, 8 Al 2.65-2.80
Zn: 0.0000 0.5000 0.0000  2 Zn 2.55, 8 Al 2.65-2.80
Zn: 0.5000 0.0000 0.0000  2 Zn 2.55, 8 Al 2.65-2.80
Zn: 0.5000 0.5000 0.5000  2 Zn 2.55, 8 Al 2.65-2.80

***

Entry from OQMD via LeMat-Bulk: a geometry-optimized Sc2AlZn structure (PBE).

Summary:
calculated density = 3.78 g/cm³
DFT total energy = -36.58 eV for the cell shown

Cell lengths 4.4136, 4.4136, 9.4975 Å; angles 90.00, 90.00, 120.00 degrees
With the nearest neighbours (Å) after each atom.
Element x y z (fractional)
Sc: 0.3333 0.6667 0.0934  3 Al 2.95, 4 Zn 2.95-3.26, 4 Sc 2.97-3.11
Sc: 0.3333 0.6667 0.4066  3 Al 2.95, 4 Zn 2.95-3.26, 4 Sc 2.97-3.11
Sc: 0.6667 0.3333 0.5934  3 Al 2.95, 4 Zn 2.95-3.26, 4 Sc 2.97-3.11
Sc: 0.6667 0.3333 0.9066  3 Al 2.95, 4 Zn 2.95-3.26, 4 Sc 2.97-3.11
Al: 0.0000 0.0000 0.2500  3 Zn 2.55
Al: 0.0000 0.0000 0.7500  3 Zn 2.55
Zn: 0.3333 0.6667 0.7500  3 Al 2.55
Zn: 0.6667 0.3333 0.2500  3 Al 2.55

***

Entry from OQMD via LeMat-Bulk: a geometry-optimized Sc2AlZn structure (PBE).

Summary:
calculated density = 3.44 g/cm³
DFT total energy = -34.80 eV for the cell shown

Cell lengths 4.7404, 4.7404, 9.0436 Å; angles 90.00, 90.00, 120.00 degrees
With the nearest neighbours (Å) after each atom.
Element x y z (fractional)
Sc: 0.3333 0.6667 0.0850  3 Al 2.84, 4 Sc 2.98-3.14, 4 Zn 3.03-3.12
Sc: 0.3333 0.6667 0.4150  3 Al 2.84, 4 Sc 2.98-3.14, 4 Zn 3.03-3.12
Sc: 0.6667 0.3333 0.5850  3 Al 2.84, 4 Sc 2.98-3.14, 4 Zn 3.03-3.12
Sc: 0.6667 0.3333 0.9150  3 Al 2.84, 4 Sc 2.98-3.14, 4 Zn 3.03-3.12
Al: 0.0000 0.0000 0.0000  6 Sc 2.84
Al: 0.0000 0.0000 0.5000  6 Sc 2.84
Zn: 0.3333 0.6667 0.7500  8 Sc 3.03-3.12
Zn: 0.6667 0.3333 0.2500  8 Sc 3.03-3.12

***

Entry from OQMD via LeMat-Bulk: a geometry-optimized ScAlZn structure (PBE).

Summary:
calculated density = 4.26 g/cm³
DFT total energy = -12.68 eV for the cell shown

Cell lengths 4.3937, 4.3937, 3.2015 Å; angles 90.00, 90.00, 120.00 degrees
With the nearest neighbours (Å) after each atom.
Element x y z (fractional)
Sc: 0.0000 0.0000 0.0000  6 Al 3.00, 6 Zn 3.00, 2 Sc 3.20
Al: 0.6667 0.3333 0.5000  3 Zn 2.54
Zn: 0.3333 0.6667 0.5000  3 Al 2.54

***

Entry from OQMD via LeMat-Bulk: a geometry-optimized Sc2Al5Zn structure (PBE).

Summary:
calculated density = 3.50 g/cm³
DFT total energy = -35.82 eV for the cell shown

Cell lengths 4.6706, 5.8206, 5.8206 Å; angles 60.50, 90.00, 90.00 degrees
With the nearest neighbours (Å) after each atom.
Element x y z (fractional)
Sc: 0.0000 0.0000 0.0000  10 Al 2.91-2.93, 2 Zn 2.93
Sc: 0.5000 0.3326 0.3326  2 Zn 2.91, 10 Al 2.91-2.93
Al: 0.0000 0.5076 0.9844  6 Al 2.80-3.07, 2 Zn 2.80-3.02, 4 Sc 2.91-2.93
Al: 0.0000 0.9844 0.5076  6 Al 2.80-3.07, 2 Zn 2.80-3.02, 4 Sc 2.91-2.93
Al: 0.5000 0.3503 0.8238  6 Al 2.78-3.09, 2 Zn 2.84, 4 Sc 2.91-2.93
Al: 0.5000 0.8238 0.3503  6 Al 2.78-3.09, 2 Zn 2.84, 4 Sc 2.91-2.93
Al: 0.5000 0.8273 0.8273  8 Al 2.79-3.03, 4 Sc 2.91-2.93
Zn: 0.0000 0.5048 0.5048  8 Al 2.80-3.02, 4 Sc 2.91-2.93